Entry 1:
VASP calculation (PBE) on a relaxed ThIn3Te6Pb2 crystal.

Output
The calculation puts the raw total energy at -4.01 eV/atom. The value obtained for the formation energy without anion corrections is -518 meV/atom. Its calculated volume is 421.6 Å³/cell. As for the space group: C2/m (12). The calculation puts the magnetic moment at 0.0 Bohr magnetons per cell.

a b c (Å): 7.9460 7.9460 8.1407
angles (deg): 99.34 99.34 119.88
Atoms (fractional coordinates):
Th (0.0000, 0.0000, 0.0000)
In (0.1664, 0.8336, 0.5000)
In (0.5000, 0.5000, 0.5000)
In (0.8336, 0.1664, 0.5000)
Te (0.0793, 0.3998, 0.2405)
Te (0.2371, 0.2371, 0.7556)
Te (0.3998, 0.0793, 0.2405)
Te (0.6002, 0.9207, 0.7595)
Te (0.7629, 0.7629, 0.2444)
Te (0.9207, 0.6002, 0.7595)
Pb (0.3332, 0.6668, 0.0000)
Pb (0.6668, 0.3332, 0.0000)

---

Entry 2:
VASP calculation (PBE) on a relaxed TlInTe4Pb2 crystal.

Output
The calculation puts the raw total energy at -3.43 eV/atom. The value obtained for the formation energy without anion corrections is -298 meV/atom. Its calculated volume is 540.2 Å³/cell. As for the space group: Imma (74). The calculation puts the magnetic moment at 0.0 Bohr magnetons per cell.

a b c (Å): 9.1336 9.1336 9.1336
angles (deg): 120.06 119.59 90.31
Atoms (fractional coordinates):
Tl (0.0000, 0.0000, 0.0000)
Tl (0.5000, 0.0000, 0.5000)
In (0.5000, 0.0000, 0.0000)
In (0.5000, 0.5000, 0.5000)
Te (0.2560, 0.2596, 0.5036)
Te (0.2560, 0.7523, 0.9964)
Te (0.2590, 0.7485, 0.5105)
Te (0.2620, 0.2515, 0.0105)
Te (0.7380, 0.7485, 0.9895)
Te (0.7410, 0.2515, 0.4895)
Te (0.7440, 0.2477, 0.0036)
Te (0.7440, 0.7404, 0.4964)
Pb (0.0000, 0.0000, 0.5000)
Pb (0.0000, 0.5000, 0.0000)
Pb (0.0000, 0.5000, 0.5000)
Pb (0.5000, 0.5000, 0.0000)

---

Entry 3:
VASP calculation (PBE) on a relaxed Tl2In2Te4Pb crystal.

Output
The calculation puts the raw total energy at -3.18 eV/atom. The value obtained for the formation energy without anion corrections is -240 meV/atom. Its calculated volume is 322.5 Å³/cell. As for the space group: C2/m (12). The calculation puts the magnetic moment at 0.0 Bohr magnetons per cell.

a b c (Å): 8.5336 8.5336 7.7259
angles (deg): 106.50 106.50 36.93
Atoms (fractional coordinates):
Tl (0.1255, 0.1255, 0.0811)
Tl (0.8745, 0.8745, 0.9189)
In (0.3275, 0.3275, 0.4440)
In (0.6725, 0.6725, 0.5560)
Te (0.2116, 0.2116, 0.7098)
Te (0.4816, 0.4816, 0.7538)
Te (0.5184, 0.5184, 0.2462)
Te (0.7884, 0.7884, 0.2902)
Pb (0.0000, 0.0000, 0.5000)